# 1
# PBE LiNiH3Rh, optimized geometry
data_LiNiH3Rh
_symmetry_space_group_name_H-M 'P 1 21/m 1'
_symmetry_Int_Tables_number 11
_symmetry_space_group_name_Hall '-P 2yb'
_cell_length_a 5.186
_cell_length_b 2.797
_cell_length_c 6.627
_cell_angle_alpha 90.00
_cell_angle_beta 100.60
_cell_angle_gamma 90.00
loop_
_atom_site_label
_atom_site_type_symbol
_atom_site_fract_x
_atom_site_fract_y
_atom_site_fract_z
Li1 Li 0.101 0.250 0.331
Ni1 Ni 0.215 0.250 0.961
H1 H 0.127 0.750 0.073
H2 H 0.192 0.250 0.702
H3 H 0.395 0.750 0.386
Rh1 Rh 0.399 0.750 0.664
# Calculated density (g cm⁻³): 6.03
# Crystal system: monoclinic
# VASP energy (eV/atom): -4.3499
# M_tot (μB/atom): 0.000

# 2
# PBE CuNiSbRu, optimized geometry
data_CuNiSbRu
_symmetry_space_group_name_H-M 'F -4 3 m'
_symmetry_Int_Tables_number 216
_symmetry_space_group_name_Hall 'F -4 2 3'
_cell_length_a 6.117
_cell_length_b 6.117
_cell_length_c 6.117
_cell_angle_alpha 90.00
_cell_angle_beta 90.00
_cell_angle_gamma 90.00
loop_
_atom_site_label
_atom_site_type_symbol
_atom_site_fract_x
_atom_site_fract_y
_atom_site_fract_z
Cu1 Cu 0.000 0.000 0.000
Ni1 Ni 0.250 0.250 0.750
Sb1 Sb 0.000 0.000 0.500
Ru1 Ru 0.250 0.250 0.250
# Calculated density (g cm⁻³): 10.01
# Crystal system: cubic
# VASP energy (eV/atom): -5.8048
# M_tot (μB/atom): 0.000

# 3
# PBE Nd2SmY2Er2, optimized geometry
data_Nd2SmY2Er2
_symmetry_space_group_name_H-M 'C 1 2/m 1'
_symmetry_Int_Tables_number 12
_symmetry_space_group_name_Hall '-C 2y'
_cell_length_a 9.523
_cell_length_b 5.972
_cell_length_c 9.174
_cell_angle_alpha 90.00
_cell_angle_beta 117.77
_cell_angle_gamma 90.00
loop_
_atom_site_label
_atom_site_type_symbol
_atom_site_fract_x
_atom_site_fract_y
_atom_site_fract_z
Nd1 Nd 0.144 0.000 0.424
Sm1 Sm 0.000 0.000 0.000
Y1 Y 0.215 0.500 0.144
Er1 Er 0.070 0.500 0.717
# Calculated density (g cm⁻³): 6.84
# Crystal system: monoclinic
# VASP energy (eV/atom): -5.0678
# DFT formation energy (eV per formula unit): 0.83
# M_tot (μB/atom): 0.000

# 4
# PBE Ho8Al2Ni, optimized geometry
data_Ho8Al2Ni
_symmetry_space_group_name_H-M 'C 1 2/m 1'
_symmetry_Int_Tables_number 12
_symmetry_space_group_name_Hall '-C 2y'
_cell_length_a 18.168
_cell_length_b 4.978
_cell_length_c 6.550
_cell_angle_alpha 90.00
_cell_angle_beta 102.55
_cell_angle_gamma 90.00
loop_
_atom_site_label
_atom_site_type_symbol
_atom_site_fract_x
_atom_site_fract_y
_atom_site_fract_z
Ho1 Ho 0.020 0.000 0.278
Ho2 Ho 0.092 0.500 0.956
Ho3 Ho 0.147 0.500 0.475
Ho4 Ho 0.210 0.000 0.804
Al1 Al 0.189 0.000 0.255
Ni1 Ni 0.000 0.500 0.500
# Calculated density (g cm⁻³): 8.23
# Crystal system: monoclinic
# VASP energy (eV/atom): -4.7302
# DFT formation energy (eV per formula unit): -2.14
# M_tot (μB/atom): 0.000

# 5
# PBE Sc3CoPd, optimized geometry
data_Sc3CoPd
_symmetry_space_group_name_H-M 'P m -3 m'
_symmetry_Int_Tables_number 221
_symmetry_space_group_name_Hall '-P 4 2 3'
_cell_length_a 4.731
_cell_length_b 4.731
_cell_length_c 4.731
_cell_angle_alpha 90.00
_cell_angle_beta 90.00
_cell_angle_gamma 90.00
loop_
_atom_site_label
_atom_site_type_symbol
_atom_site_fract_x
_atom_site_fract_y
_atom_site_fract_z
Sc1 Sc 0.000 0.000 0.500
Co1 Co 0.000 0.000 0.000
Pd1 Pd 0.500 0.500 0.500
# Calculated density (g cm⁻³): 4.71
# Crystal system: cubic
# VASP energy (eV/atom): -6.4353
# DFT formation energy (eV per formula unit): -0.88
# M_tot (μB/atom): 0.000
# Polymorph energy (0 for the lowest one) (meV/atom): 310

# 6
# PBE BaAl3V, optimized geometry
data_BaAl3V
_symmetry_space_group_name_H-M 'P m -3 m'
_symmetry_Int_Tables_number 221
_symmetry_space_group_name_Hall '-P 4 2 3'
_cell_length_a 5.701
_cell_length_b 5.701
_cell_length_c 5.701
_cell_angle_alpha 90.00
_cell_angle_beta 90.00
_cell_angle_gamma 90.00
loop_
_atom_site_label
_atom_site_type_symbol
_atom_site_fract_x
_atom_site_fract_y
_atom_site_fract_z
Ba1 Ba 0.000 0.000 0.000
Al1 Al 0.000 0.000 0.500
V1 V 0.500 0.500 0.500
# Calculated density (g cm⁻³): 2.41
# Crystal system: cubic
# VASP energy (eV/atom): -2.5274
# DFT formation energy (eV per formula unit): 9.63
# M_tot (μB/atom): 0.787
# Polymorph energy (0 for the lowest one) (meV/atom): 1855

# 7
# PBE Pm5Tl2InIr2, optimized geometry
data_Pm5Tl2InIr2
_symmetry_space_group_name_H-M 'P 4/m b m'
_symmetry_Int_Tables_number 127
_symmetry_space_group_name_Hall '-P 4 2ab'
_cell_length_a 12.282
_cell_length_b 12.282
_cell_length_c 3.769
_cell_angle_alpha 90.00
_cell_angle_beta 90.00
_cell_angle_gamma 90.00
loop_
_atom_site_label
_atom_site_type_symbol
_atom_site_fract_x
_atom_site_fract_y
_atom_site_fract_z
Pm1 Pm 0.000 0.500 0.000
Pm2 Pm 0.078 0.207 0.000
Tl1 Tl 0.174 0.674 0.500
In1 In 0.000 0.000 0.500
Ir1 Ir 0.129 0.371 0.500
# Calculated density (g cm⁻³): 9.54
# Crystal system: tetragonal
# VASP energy (eV/atom): -5.3635
# DFT formation energy (eV per formula unit): -4.69
# M_tot (μB/atom): 0.000

# 8
# PBE RbCo4, optimized geometry
data_RbCo4
_symmetry_space_group_name_H-M 'P m -3 m'
_symmetry_Int_Tables_number 221
_symmetry_space_group_name_Hall '-P 4 2 3'
_cell_length_a 4.534
_cell_length_b 4.534
_cell_length_c 4.534
_cell_angle_alpha 90.00
_cell_angle_beta 90.00
_cell_angle_gamma 90.00
loop_
_atom_site_label
_atom_site_type_symbol
_atom_site_fract_x
_atom_site_fract_y
_atom_site_fract_z
Rb1 Rb 0.000 0.000 0.000
Co1 Co 0.000 0.000 0.500
Co2 Co 0.500 0.500 0.500
# Calculated density (g cm⁻³): 5.72
# Crystal system: cubic
# VASP energy (eV/atom): -3.0639
# DFT formation energy (eV per formula unit): 14.07
# M_tot (μB/atom): 1.238

# 9
# PBE BaCaCd2Ge, optimized geometry
data_BaCaCd2Ge
_symmetry_space_group_name_H-M 'P 4/m m m'
_symmetry_Int_Tables_number 123
_symmetry_space_group_name_Hall '-P 4 2'
_cell_length_a 6.127
_cell_length_b 6.127
_cell_length_c 5.760
_cell_angle_alpha 90.00
_cell_angle_beta 90.00
_cell_angle_gamma 90.00
loop_
_atom_site_label
_atom_site_type_symbol
_atom_site_fract_x
_atom_site_fract_y
_atom_site_fract_z
Ba1 Ba 0.000 0.000 0.000
Ca1 Ca 0.500 0.500 0.500
Cd1 Cd 0.000 0.500 0.000
Ge1 Ge 0.000 0.000 0.500
# Calculated density (g cm⁻³): 3.65
# Crystal system: tetragonal
# VASP energy (eV/atom): -1.5468
# DFT formation energy (eV per formula unit): 2.64
# M_tot (μB/atom): 0.000

# 10
# PBE NdSm3Sc2, optimized geometry
data_NdSm3Sc2
_symmetry_space_group_name_H-M 'C m c m'
_symmetry_Int_Tables_number 63
_symmetry_space_group_name_Hall '-C 2c 2'
_cell_length_a 14.447
_cell_length_b 9.847
_cell_length_c 5.499
_cell_angle_alpha 90.00
_cell_angle_beta 90.00
_cell_angle_gamma 90.00
loop_
_atom_site_label
_atom_site_type_symbol
_atom_site_fract_x
_atom_site_fract_y
_atom_site_fract_z
Nd1 Nd 0.000 0.232 0.250
Sm1 Sm 0.000 0.403 0.750
Sm2 Sm 0.239 0.369 0.750
Sc1 Sc 0.105 0.090 0.750
# Calculated density (g cm⁻³): 5.82
# Crystal system: orthorhombic
# VASP energy (eV/atom): -4.9912
# DFT formation energy (eV per formula unit): 1.64
# M_tot (μB/atom): 0.000